a | Below is crystalline ScBiP2S at its relaxed geometry, with properties calculated at the GGA-PBE level.

For the density of states at the Fermi level, the calculation gives 4.36 states/eV per cell. The crystal system is tetragonal. The value obtained for the calculated density is 4.80 g/cm3.

It has space group P4/mmm (No. 123), with a = 5.000 Å, b = 5.000 Å, c = 4.812 Å, α = 90.00°, β = 90.00° and γ = 90.00°. The asymmetric unit holds Sc at (0.000, 0.000, 0.000), Bi at (0.500, 0.500, 0.500), P at (0.000, 0.500, 0.000) and S at (0.000, 0.000, 0.500).

***

b | Below is crystalline ScBiP2S at its relaxed geometry, with properties calculated at the GGA-PBE level.

For the density of states at the Fermi level, the calculation gives 5.16 states/eV per cell. The crystal system is tetragonal. The value obtained for the calculated density is 4.26 g/cm3.

It has space group P4/mmm (No. 123), with a = 5.134 Å, b = 5.134 Å, c = 5.150 Å, α = 90.00°, β = 90.00° and γ = 90.00°. The asymmetric unit holds Sc at (0.000, 0.000, 0.000), Bi at (0.500, 0.500, 0.500), P at (0.000, 0.500, 0.500) and S at (0.500, 0.500, 0.000).

***

What is the stability order? It is a, b, from most stable to least stable.

***

a | Below is crystalline BiP2SeS at its relaxed geometry, with properties calculated at the GGA-PBE level.

For the density of states at the Fermi level, the calculation gives 4.09 states/eV per cell. The crystal system is tetragonal. The value obtained for the calculated density is 5.69 g/cm3.

It has space group P4/mmm (No. 123), with a = 4.848 Å, b = 4.848 Å, c = 4.743 Å, α = 90.00°, β = 90.00° and γ = 90.00°. The asymmetric unit holds Bi at (0.000, 0.000, 0.000), P at (0.000, 0.500, 0.500), Se at (0.500, 0.500, 0.500) and S at (0.500, 0.500, 0.000).

***

b | Below is crystalline BiP2SeS at its relaxed geometry, with properties calculated at the GGA-PBE level.

For the density of states at the Fermi level, the calculation gives 5.79 states/eV per cell. The crystal system is tetragonal. The value obtained for the calculated density is 4.32 g/cm3.

It has space group P4/mmm (No. 123), with a = 5.405 Å, b = 5.405 Å, c = 5.023 Å, α = 90.00°, β = 90.00° and γ = 90.00°. The asymmetric unit holds Bi at (0.000, 0.000, 0.000), P at (0.000, 0.500, 0.000), Se at (0.500, 0.500, 0.500) and S at (0.000, 0.000, 0.500).

***

What is the stability order? It is a, b, from most stable to least stable.

***

a | Below is crystalline SiBiPS2 at its relaxed geometry, with properties calculated at the GGA-PBE level.

For the density of states at the Fermi level, the calculation gives 2.04 states/eV per cell. The crystal system is tetragonal. The value obtained for the calculated density is 5.63 g/cm3.

It has space group P4/mmm (No. 123), with a = 4.599 Å, b = 4.599 Å, c = 4.630 Å, α = 90.00°, β = 90.00° and γ = 90.00°. The asymmetric unit holds Si at (0.000, 0.000, 0.000), Bi at (0.500, 0.500, 0.500), P at (0.000, 0.000, 0.500) and S at (0.000, 0.500, 0.000).

***

b | Below is crystalline SiBiPS2 at its relaxed geometry, with properties calculated at the GGA-PBE level.

For the density of states at the Fermi level, the calculation gives 4.66 states/eV per cell. The crystal system is tetragonal. The value obtained for the calculated density is 3.94 g/cm3.

It has space group P4/mmm (No. 123), with a = 5.163 Å, b = 5.163 Å, c = 5.245 Å, α = 90.00°, β = 90.00° and γ = 90.00°. The asymmetric unit holds Si at (0.000, 0.000, 0.000), Bi at (0.500, 0.500, 0.500), P at (0.500, 0.500, 0.000) and S at (0.000, 0.500, 0.500).

***

What is the stability order? It is a, b, from most stable to least stable.

***

a | Below is crystalline SnBiPS2 at its relaxed geometry, with properties calculated at the GGA-PBE level.

For the density of states at the Fermi level, the calculation gives 4.09 states/eV per cell. The crystal system is tetragonal. The value obtained for the calculated density is 4.94 g/cm3.

It has space group P4/mmm (No. 123), with a = 5.209 Å, b = 5.209 Å, c = 5.242 Å, α = 90.00°, β = 90.00° and γ = 90.00°. The asymmetric unit holds Sn at (0.000, 0.000, 0.000), Bi at (0.500, 0.500, 0.500), P at (0.500, 0.500, 0.000) and S at (0.000, 0.500, 0.500).

***

b | Below is crystalline SnBiPS2 at its relaxed geometry, with properties calculated at the GGA-PBE level.

For the density of states at the Fermi level, the calculation gives 4.15 states/eV per cell. The crystal system is tetragonal. The value obtained for the calculated density is 5.62 g/cm3.

It has space group P4/mmm (No. 123), with a = 4.959 Å, b = 4.959 Å, c = 5.081 Å, α = 90.00°, β = 90.00° and γ = 90.00°. The asymmetric unit holds Sn at (0.000, 0.000, 0.000), Bi at (0.500, 0.500, 0.500), P at (0.000, 0.000, 0.500) and S at (0.000, 0.500, 0.000).

***

What is the stability order? It is b, a, from most stable to least stable.

***

a | Below is crystalline TaBiP2S at its relaxed geometry, with properties calculated at the GGA-PBE level.

For the density of states at the Fermi level, the calculation gives 7.38 states/eV per cell. The crystal system is tetragonal. The value obtained for the calculated density is 5.65 g/cm3.

It has space group P4/mmm (No. 123), with a = 5.112 Å, b = 5.112 Å, c = 5.443 Å, α = 90.00°, β = 90.00° and γ = 90.00°. The asymmetric unit holds Ta at (0.000, 0.000, 0.000), Bi at (0.000, 0.000, 0.500), P at (0.000, 0.500, 0.500) and S at (0.500, 0.500, 0.000).

***

b | Below is crystalline TaBiP2S at its relaxed geometry, with properties calculated at the GGA-PBE level.

For the density of states at the Fermi level, the calculation gives 5.96 states/eV per cell. The crystal system is tetragonal. The value obtained for the calculated density is 6.31 g/cm3.

It has space group P4/mmm (No. 123), with a = 5.052 Å, b = 5.052 Å, c = 4.991 Å, α = 90.00°, β = 90.00° and γ = 90.00°. The asymmetric unit holds Ta at (0.000, 0.000, 0.000), Bi at (0.500, 0.500, 0.500), P at (0.000, 0.500, 0.500) and S at (0.500, 0.500, 0.000).

***

c | Below is crystalline TaBiP2S at its relaxed geometry, with properties calculated at the GGA-PBE level.

For the density of states at the Fermi level, the calculation gives 4.10 states/eV per cell. The crystal system is tetragonal. The value obtained for the calculated density is 7.03 g/cm3.

It has space group P4/mmm (No. 123), with a = 4.971 Å, b = 4.971 Å, c = 4.628 Å, α = 90.00°, β = 90.00° and γ = 90.00°. The asymmetric unit holds Ta at (0.000, 0.000, 0.000), Bi at (0.500, 0.500, 0.500), P at (0.000, 0.500, 0.000) and S at (0.000, 0.000, 0.500).

***

What is the stability order? It is c, b, a, from most stable to least stable.

***

a | Below is crystalline TcBiPS2 at its relaxed geometry, with properties calculated at the GGA-PBE level.

For the density of states at the Fermi level, the calculation gives 5.37 states/eV per cell. The crystal system is tetragonal. The value obtained for the calculated density is 6.36 g/cm3.

It has space group P4/mmm (No. 123), with a = 4.513 Å, b = 4.513 Å, c = 5.155 Å, α = 90.00°, β = 90.00° and γ = 90.00°. The asymmetric unit holds Tc at (0.000, 0.000, 0.000), Bi at (0.500, 0.500, 0.500), P at (0.000, 0.000, 0.500) and S at (0.000, 0.500, 0.000).

***

b | Below is crystalline TcBiPS2 at its relaxed geometry, with properties calculated at the GGA-PBE level.

For the density of states at the Fermi level, the calculation gives 3.99 states/eV per cell. The crystal system is tetragonal. The value obtained for the calculated density is 4.80 g/cm3.

It has space group P4/mmm (No. 123), with a = 5.135 Å, b = 5.135 Å, c = 5.270 Å, α = 90.00°, β = 90.00° and γ = 90.00°. The asymmetric unit holds Tc at (0.000, 0.000, 0.000), Bi at (0.500, 0.500, 0.500), P at (0.500, 0.500, 0.000) and S at (0.000, 0.500, 0.500).

***

What is the stability order? It is a, b, from most stable to least stable.

***

a | Below is crystalline VBiP2S at its relaxed geometry, with properties calculated at the GGA-PBE level.

For the density of states at the Fermi level, the calculation gives 9.42 states/eV per cell. The crystal system is tetragonal. The value obtained for the calculated density is 4.31 g/cm3.

It has space group P4/mmm (No. 123), with a = 5.166 Å, b = 5.166 Å, c = 5.116 Å, α = 90.00°, β = 90.00° and γ = 90.00°. The asymmetric unit holds V at (0.000, 0.000, 0.000), Bi at (0.500, 0.500, 0.500), P at (0.000, 0.500, 0.500) and S at (0.500, 0.500, 0.000).

***

b | Below is crystalline VBiP2S at its relaxed geometry, with properties calculated at the GGA-PBE level.

For the density of states at the Fermi level, the calculation gives 4.23 states/eV per cell. The crystal system is tetragonal. The value obtained for the calculated density is 5.85 g/cm3.

It has space group P4/mmm (No. 123), with a = 4.804 Å, b = 4.804 Å, c = 4.355 Å, α = 90.00°, β = 90.00° and γ = 90.00°. The asymmetric unit holds V at (0.000, 0.000, 0.000), Bi at (0.500, 0.500, 0.500), P at (0.000, 0.500, 0.000) and S at (0.000, 0.000, 0.500).

***

What is the stability order? It is b, a, from most stable to least stable.

***

a | Below is crystalline BiP2WS at its relaxed geometry, with properties calculated at the GGA-PBE level.

For the density of states at the Fermi level, the calculation gives 3.55 states/eV per cell. The crystal system is tetragonal. The value obtained for the calculated density is 6.05 g/cm3.

It has space group P4/mmm (No. 123), with a = 5.131 Å, b = 5.131 Å, c = 5.076 Å, α = 90.00°, β = 90.00° and γ = 90.00°. The asymmetric unit holds Bi at (0.000, 0.000, 0.000), P at (0.000, 0.500, 0.000), W at (0.500, 0.500, 0.500) and S at (0.000, 0.000, 0.500).

***

b | Below is crystalline BiP2WS at its relaxed geometry, with properties calculated at the GGA-PBE level.

For the density of states at the Fermi level, the calculation gives 5.06 states/eV per cell. The crystal system is tetragonal. The value obtained for the calculated density is 7.48 g/cm3.

It has space group P4/mmm (No. 123), with a = 4.896 Å, b = 4.896 Å, c = 4.511 Å, α = 90.00°, β = 90.00° and γ = 90.00°. The asymmetric unit holds Bi at (0.000, 0.000, 0.000), P at (0.000, 0.500, 0.500), W at (0.500, 0.500, 0.500) and S at (0.500, 0.500, 0.000).

***

What is the stability order? It is b, a, from most stable to least stable.

***

a | Below is crystalline BiPWS2 at its relaxed geometry, with properties calculated at the GGA-PBE level.

For the density of states at the Fermi level, the calculation gives 3.95 states/eV per cell. The crystal system is tetragonal. The value obtained for the calculated density is 5.98 g/cm3.

It has space group P4/mmm (No. 123), with a = 5.092 Å, b = 5.092 Å, c = 5.225 Å, α = 90.00°, β = 90.00° and γ = 90.00°. The asymmetric unit holds Bi at (0.000, 0.000, 0.000), P at (0.000, 0.000, 0.500), W at (0.500, 0.500, 0.500) and S at (0.000, 0.500, 0.000).

***

b | Below is crystalline BiPWS2 at its relaxed geometry, with properties calculated at the GGA-PBE level.

For the density of states at the Fermi level, the calculation gives 4.59 states/eV per cell. The crystal system is tetragonal. The value obtained for the calculated density is 7.54 g/cm3.

It has space group P4/mmm (No. 123), with a = 4.617 Å, b = 4.617 Å, c = 5.037 Å, α = 90.00°, β = 90.00° and γ = 90.00°. The asymmetric unit holds Bi at (0.000, 0.000, 0.000), P at (0.500, 0.500, 0.000), W at (0.500, 0.500, 0.500) and S at (0.000, 0.500, 0.500).

***

What is the stability order? It is b, a, from most stable to least stable.

***

a | Below is crystalline ZrBiPS2 at its relaxed geometry, with properties calculated at the GGA-PBE level.

For the density of states at the Fermi level, the calculation gives 3.31 states/eV per cell. The crystal system is tetragonal. The value obtained for the calculated density is 5.21 g/cm3.

It has space group P4/mmm (No. 123), with a = 4.893 Å, b = 4.893 Å, c = 5.264 Å, α = 90.00°, β = 90.00° and γ = 90.00°. The asymmetric unit holds Zr at (0.000, 0.000, 0.000), Bi at (0.500, 0.500, 0.500), P at (0.000, 0.000, 0.500) and S at (0.000, 0.500, 0.000).

***

b | Below is crystalline ZrBiPS2 at its relaxed geometry, with properties calculated at the GGA-PBE level.

For the density of states at the Fermi level, the calculation gives 4.33 states/eV per cell. The crystal system is tetragonal. The value obtained for the calculated density is 4.94 g/cm3.

It has space group P4/mmm (No. 123), with a = 5.077 Å, b = 5.077 Å, c = 5.151 Å, α = 90.00°, β = 90.00° and γ = 90.00°. The asymmetric unit holds Zr at (0.000, 0.000, 0.000), Bi at (0.500, 0.500, 0.500), P at (0.500, 0.500, 0.000) and S at (0.000, 0.500, 0.500).

***

What is the stability order? It is a, b, from most stable to least stable.

***

a | Below is crystalline ZrBiP2S at its relaxed geometry, with properties calculated at the GGA-PBE level.

For the density of states at the Fermi level, the calculation gives 2.33 states/eV per cell. The crystal system is tetragonal. The value obtained for the calculated density is 5.00 g/cm3.

It has space group P4/mmm (No. 123), with a = 5.085 Å, b = 5.085 Å, c = 5.058 Å, α = 90.00°, β = 90.00° and γ = 90.00°. The asymmetric unit holds Zr at (0.000, 0.000, 0.000), Bi at (0.500, 0.500, 0.500), P at (0.000, 0.500, 0.500) and S at (0.500, 0.500, 0.000).

***

b | Below is crystalline ZrBiP2S at its relaxed geometry, with properties calculated at the GGA-PBE level.

For the density of states at the Fermi level, the calculation gives 3.63 states/eV per cell. The crystal system is tetragonal. The value obtained for the calculated density is 5.16 g/cm3.

It has space group P4/mmm (No. 123), with a = 5.115 Å, b = 5.115 Å, c = 4.845 Å, α = 90.00°, β = 90.00° and γ = 90.00°. The asymmetric unit holds Zr at (0.000, 0.000, 0.000), Bi at (0.500, 0.500, 0.500), P at (0.000, 0.500, 0.000) and S at (0.000, 0.000, 0.500).

***

What is the stability order? It is b, a, from most stable to least stable.

***

a | Below is crystalline BiSbP at its relaxed geometry, with properties calculated at the GGA-PBE level.

For the density of states at the Fermi level, the calculation gives 2.21 states/eV per cell. The crystal system is triclinic. The value obtained for the calculated density is 7.01 g/cm3.

It has space group P-1 (No. 2), with a = 4.666 Å, b = 6.057 Å, c = 6.414 Å, α = 87.83°, β = 78.03° and γ = 75.07°. The asymmetric unit holds Bi at (0.101, 0.179, 0.168), Sb at (0.452, 0.424, 0.731) and P at (0.272, 0.106, 0.564).

***

b | Below is crystalline BiSbP at its relaxed geometry, with properties calculated at the GGA-PBE level.

For the density of states at the Fermi level, the calculation gives 1.90 states/eV per cell. The crystal system is monoclinic. The value obtained for the calculated density is 6.91 g/cm3.

It has space group Pm (No. 6), with a = 6.568 Å, b = 3.620 Å, c = 7.474 Å, α = 90.00°, β = 101.98° and γ = 90.00°. The asymmetric unit holds Bi at (0.000, 0.000, 0.000), Bi at (0.421, 0.000, 0.868), Sb at (0.381, 0.500, 0.303), Sb at (0.786, 0.500, 0.612), P at (0.247, 0.000, 0.502) and P at (0.905, 0.000, 0.404).

***

What is the stability order? It is a, b, from most stable to least stable.